# 1
The following is a PBE calculation of crystalline TiNi3Br at its relaxed geometry, from Alexandria via LeMat-Bulk.

a = 4.350 Å, b = 4.350 Å, c = 4.350 Å
α = 90.00°, β = 90.00°, γ = 90.00°
Fractional coordinates of all 5 atoms:
Ti 0.500 0.500 0.500
Ni 0.500 0.000 0.000
Ni 0.000 0.000 0.500
Ni 0.000 0.500 0.000
Br 0.000 0.000 0.000

Values from the calculation:
ΔE_f (raw) in meV per atom: 860

=====

# 2
The following is a PBE calculation of crystalline TiNi3Br at its relaxed geometry, from Alexandria via LeMat-Bulk.

a = 4.488 Å, b = 4.488 Å, c = 4.488 Å
α = 90.00°, β = 90.00°, γ = 90.00°
Fractional coordinates of all 5 atoms:
Br 0.500 0.500 0.500
Ti 0.000 0.000 0.000
Ni 0.000 0.500 0.000
Ni 0.000 0.000 0.500
Ni 0.500 0.000 0.000

Values from the calculation:
ΔE_f (raw) in meV per atom: 1051

=====

# 3
The following is a PBE calculation of crystalline TiNi2Br2 at its relaxed geometry, from Alexandria via LeMat-Bulk.

a = 6.551 Å, b = 6.551 Å, c = 4.365 Å
α = 90.00°, β = 90.00°, γ = 90.00°
Fractional coordinates of all 10 atoms:
Ni 0.866 0.634 0.000
Br 0.714 0.214 0.500
Ti 0.000 0.000 0.000
Br 0.286 0.786 0.500
Ni 0.134 0.366 0.000
Br 0.786 0.714 0.500
Br 0.214 0.286 0.500
Ni 0.634 0.134 0.000
Ti 0.500 0.500 0.000
Ni 0.366 0.866 0.000

Values from the calculation:
ΔE_f (raw) in meV per atom: 271

=====

# 4
The following is a PBE calculation of crystalline TiNiBr2 at its relaxed geometry, from Alexandria via LeMat-Bulk.

a = 5.584 Å, b = 5.584 Å, c = 7.175 Å
α = 67.10°, β = 67.10°, γ = 90.00°
Fractional coordinates of all 8 atoms:
Br 0.096 0.625 0.250
Br 0.654 0.125 0.250
Ni 0.750 0.250 0.500
Br 0.375 0.346 0.750
Ti 0.250 0.750 0.500
Ni 0.000 0.000 0.000
Ti 0.500 0.500 0.000
Br 0.875 0.904 0.750

Values from the calculation:
ΔE_f (raw) in meV per atom: -29

=====

# 5
The following is a PBE calculation of crystalline Ti3NiBr at its relaxed geometry, from Alexandria via LeMat-Bulk.

a = 4.653 Å, b = 4.653 Å, c = 4.653 Å
α = 90.00°, β = 90.00°, γ = 90.00°
Fractional coordinates of all 5 atoms:
Ti 0.000 0.000 0.500
Br 0.500 0.500 0.500
Ti 0.000 0.500 0.000
Ni 0.000 0.000 0.000
Ti 0.500 0.000 0.000

Values from the calculation:
ΔE_f (raw) in meV per atom: 365

=====

# 6
The following is a PBE calculation of crystalline Ti2NiBr at its relaxed geometry, from Alexandria via LeMat-Bulk.

a = 4.444 Å, b = 4.444 Å, c = 4.444 Å
α = 60.00°, β = 60.00°, γ = 60.00°
Fractional coordinates of all 4 atoms:
Ti 0.750 0.750 0.750
Ni 0.000 0.000 0.000
Ti 0.250 0.250 0.250
Br 0.500 0.500 0.500

Values from the calculation:
ΔE_f (raw) in meV per atom: 88

=====

# 7
The following is a PBE calculation of crystalline Ti2NiBr at its relaxed geometry, from Alexandria via LeMat-Bulk.

a = 5.621 Å, b = 5.621 Å, c = 6.845 Å
α = 65.76°, β = 65.76°, γ = 90.00°
Fractional coordinates of all 8 atoms:
Ti 0.574 0.125 0.250
Br 0.750 0.250 0.500
Ni 0.250 0.750 0.500
Br 0.000 0.000 0.000
Ti 0.875 0.824 0.750
Ni 0.500 0.500 0.000
Ti 0.375 0.426 0.750
Ti 0.176 0.625 0.250

Values from the calculation:
ΔE_f (raw) in meV per atom: 249

=====

# 8
The following is a PBE calculation of crystalline TiNi2Br2 at its relaxed geometry, from Alexandria via LeMat-Bulk.

a = 4.983 Å, b = 4.983 Å, c = 5.036 Å
α = 60.34°, β = 60.34°, γ = 90.00°
Fractional coordinates of all 5 atoms:
Br 0.250 0.750 0.500
Ti 0.000 0.000 0.000
Ni 0.327 0.327 0.346
Ni 0.673 0.673 0.654
Br 0.750 0.250 0.500

Values from the calculation:
ΔE_f (raw) in meV per atom: 455

=====

# 9
The following is a PBE calculation of crystalline Tl4NiBr5 at its relaxed geometry, from Alexandria via LeMat-Bulk.

a = 6.619 Å, b = 7.864 Å, c = 7.864 Å
α = 79.80°, β = 65.11°, γ = 65.11°
Fractional coordinates of all 10 atoms:
Br 0.093 0.669 0.141
Tl 0.595 0.609 0.217
Br 0.234 0.859 0.669
Ni 0.041 0.000 0.000
Br 0.444 0.000 0.000
Br 0.903 0.331 0.859
Tl 0.421 0.391 0.783
Br 0.762 0.141 0.331
Tl 0.204 0.217 0.391
Tl 0.813 0.783 0.609

Values from the calculation:
ΔE_f (raw) in meV per atom: -598

=====

# 10
The following is a PBE calculation of crystalline Tl2NiBr8 at its relaxed geometry, from Alexandria via LeMat-Bulk.

a = 7.457 Å, b = 8.171 Å, c = 8.171 Å
α = 79.65°, β = 91.01°, γ = 91.01°
Fractional coordinates of all 11 atoms:
Tl 0.326 0.773 0.773
Ni 0.000 0.000 0.000
Br 0.125 0.734 0.060
Br 0.125 0.060 0.734
Br 0.343 0.166 0.166
Br 0.875 0.940 0.266
Br 0.875 0.266 0.940
Br 0.212 0.579 0.579
Br 0.657 0.834 0.834
Tl 0.674 0.227 0.227
Br 0.788 0.421 0.421

Values from the calculation:
ΔE_f (raw) in meV per atom: -389

=====

# 11
The following is a PBE calculation of crystalline TlNiBr at its relaxed geometry, from Alexandria via LeMat-Bulk.

a = 6.900 Å, b = 6.518 Å, c = 3.639 Å
α = 80.14°, β = 68.56°, γ = 31.30°
Fractional coordinates of all 3 atoms:
Br 0.952 0.952 0.048
Tl 0.699 0.699 0.301
Ni 0.349 0.349 0.651

Values from the calculation:
ΔE_f (raw) in meV per atom: 171

=====

# 12
The following is a PBE calculation of crystalline TlNiBr at its relaxed geometry, from Alexandria via LeMat-Bulk.

a = 6.594 Å, b = 6.594 Å, c = 6.594 Å
α = 150.02°, β = 150.01°, γ = 42.92°
Fractional coordinates of all 3 atoms:
Br 0.936 0.936 0.000
Tl 0.681 0.681 0.000
Ni 0.384 0.384 0.000

Values from the calculation:
ΔE_f (raw) in meV per atom: 179

=====

# 13
The following is a PBE calculation of crystalline TlNi3Br at its relaxed geometry, from Alexandria via LeMat-Bulk.

a = 4.486 Å, b = 4.486 Å, c = 4.486 Å
α = 90.00°, β = 90.00°, γ = 90.00°
Fractional coordinates of all 5 atoms:
Tl 0.500 0.500 0.500
Br 0.000 0.000 0.000
Ni 0.000 0.500 0.000
Ni 0.000 0.000 0.500
Ni 0.500 0.000 0.000

Values from the calculation:
ΔE_f (raw) in meV per atom: 699

=====

# 14
The following is a PBE calculation of crystalline Tl2NiBr8 at its relaxed geometry, from Alexandria via LeMat-Bulk.

a = 3.824 Å, b = 9.282 Å, c = 11.671 Å
α = 97.20°, β = 109.24°, γ = 78.43°
Fractional coordinates of all 11 atoms:
Br 0.961 0.178 0.046
Br 0.645 0.727 0.504
Br 0.355 0.273 0.496
Br 0.749 0.955 0.228
Br 0.453 0.506 0.202
Br 0.547 0.494 0.798
Tl 0.978 0.690 0.317
Tl 0.022 0.310 0.683
Ni 0.500 0.000 0.000
Br 0.251 0.045 0.772
Br 0.039 0.822 0.954

Values from the calculation:
ΔE_f (raw) in meV per atom: -364

=====

# 15
The following is a PBE calculation of crystalline TlNi3Br at its relaxed geometry, from Alexandria via LeMat-Bulk.

a = 4.861 Å, b = 4.861 Å, c = 4.861 Å
α = 90.00°, β = 90.00°, γ = 90.00°
Fractional coordinates of all 5 atoms:
Tl 0.000 0.000 0.000
Br 0.500 0.500 0.500
Ni 0.500 0.000 0.000
Ni 0.000 0.500 0.000
Ni 0.000 0.000 0.500

Values from the calculation:
ΔE_f (raw) in meV per atom: 1264

=====

# 16
The following is a PBE calculation of crystalline TlNiBr at its relaxed geometry, from Alexandria via LeMat-Bulk.

a = 4.953 Å, b = 4.953 Å, c = 4.953 Å
α = 60.00°, β = 60.00°, γ = 60.00°
Fractional coordinates of all 3 atoms:
Ni 0.500 0.500 0.500
Tl 0.750 0.750 0.750
Br 0.000 0.000 0.000

Values from the calculation:
ΔE_f (raw) in meV per atom: 658

=====

# 17
The following is a PBE calculation of crystalline TlNiBr at its relaxed geometry, from Alexandria via LeMat-Bulk.

a = 4.636 Å, b = 4.636 Å, c = 4.636 Å
α = 60.00°, β = 60.00°, γ = 60.00°
Fractional coordinates of all 3 atoms:
Ni 0.750 0.750 0.750
Tl 0.000 0.000 0.000
Br 0.500 0.500 0.500

Values from the calculation:
ΔE_f (raw) in meV per atom: 208

=====

# 18
The following is a PBE calculation of crystalline Tl3NiBr at its relaxed geometry, from Alexandria via LeMat-Bulk.

a = 6.071 Å, b = 6.071 Å, c = 6.071 Å
α = 90.00°, β = 90.00°, γ = 90.00°
Fractional coordinates of all 5 atoms:
Ni 0.500 0.500 0.500
Br 0.000 0.000 0.000
Tl 0.500 0.000 0.000
Tl 0.000 0.000 0.500
Tl 0.000 0.500 0.000

Values from the calculation:
ΔE_f (raw) in meV per atom: 647

=====

# 19
The following is a PBE calculation of crystalline TlNiBr4 at its relaxed geometry, from Alexandria via LeMat-Bulk.

a = 3.897 Å, b = 7.202 Å, c = 7.369 Å
α = 107.82°, β = 90.00°, γ = 90.00°
Fractional coordinates of all 6 atoms:
Ni 0.000 0.500 0.500
Br 0.000 0.271 0.701
Br 0.500 0.292 0.305
Br 0.000 0.729 0.299
Br 0.500 0.708 0.695
Tl 0.500 0.500 0.000

Values from the calculation:
ΔE_f (raw) in meV per atom: -386

=====

# 20
The following is a PBE calculation of crystalline Tl3NiBr at its relaxed geometry, from Alexandria via LeMat-Bulk.

a = 5.193 Å, b = 5.193 Å, c = 5.193 Å
α = 90.00°, β = 90.00°, γ = 90.00°
Fractional coordinates of all 5 atoms:
Tl 0.000 0.500 0.000
Br 0.500 0.500 0.500
Tl 0.500 0.000 0.000
Ni 0.000 0.000 0.000
Tl 0.000 0.000 0.500

Values from the calculation:
ΔE_f (raw) in meV per atom: -257